Sm2InNi4Ge3 | PBE-GGA | optimized geometry

## Properties
As for the spin magnetization: 0.00 μB/f.u. As for the calculated volume: 17.4 Å³ per atom. Its formation enthalpy at 0 K is -585 kJ/mol of formula units.

Unit cell a=4.1652 b=4.1652 c=10.0019 alpha=90.00 beta=90.00 gamma=90.00
Fractional positions:
Sm1 0.5000 0.0000 0.2379
Sm2 0.0000 0.5000 0.7621
In1 0.5000 0.5000 0.5000
Ni1 0.5000 0.5000 0.0000
Ni2 0.0000 0.0000 0.0000
Ni3 0.5000 0.0000 0.6451
Ni4 0.0000 0.5000 0.3549
Ge1 0.0000 0.0000 0.5000
Ge2 0.5000 0.0000 0.8789
Ge3 0.0000 0.5000 0.1211